# Pr3Al3Ag2

Crystalline Pr3Al3Ag2 at its relaxed geometry (PBE, the Alexandria database).

The space group is Cmcm (No. 63) and the conventional cell measures 4.691, 10.840 and 15.563 Å, with angles of 90.00, 90.00 and 90.00 degrees. Symmetry generates all atoms from Pr at (0.000, 0.099, 0.111), Pr at (0.000, 0.381, 0.250), Al at (0.000, 0.327, 0.750), Al at (0.000, 0.390, 0.037) and Ag at (0.000, 0.200, 0.597).

As for the magnetization: 0.00 μB per formula unit. As for the formation energy: -0.364 eV per atom.

---

# Ce4ReGe

Crystalline Ce4ReGe at its relaxed geometry (PBE, the Alexandria database).

The space group is C2/c (No. 15) and the conventional cell measures 8.312, 12.888 and 5.849 Å, with angles of 90.00, 111.69 and 90.00 degrees. Symmetry generates all atoms from Ce at (0.121, 0.187, 0.069), Ce at (0.198, 0.414, 0.331), Re at (0.000, 0.001, 0.750) and Ge at (0.000, 0.383, 0.750).

As for the magnetization: 0.00 μB per formula unit. As for the formation energy: -0.280 eV per atom.

---

# Na4TmHf3Se8

Crystalline Na4TmHf3Se8 at its relaxed geometry (PBE, the Alexandria database).

The space group is R-3m (No. 166, hexagonal axes) and the conventional cell measures 7.7532, 7.7532 and 21.3968 Å, with angles of 90.00, 90.00 and 120.00 degrees. Symmetry generates all atoms from Na at (0.0000, 0.0000, 0.0000), Na at (0.0000, 0.5000, 0.0000), Tm at (0.0000, 0.0000, 0.5000), Hf at (0.0000, 0.5000, 0.5000), Se at (0.0000, 0.0000, 0.2406) and Se at (0.0090, 0.5045, 0.7582).

As for the magnetization: 0.00 μB per formula unit. Its total DFT energy (no corrections) is -5.561 eV/atom.

---

# TiP2NO

Crystalline TiP2NO at its relaxed geometry (PBE, the Alexandria database).

The space group is P4/mmm (No. 123) and the conventional cell measures 4.790, 4.790 and 3.641 Å, with angles of 90.00, 90.00 and 90.00 degrees. Symmetry generates all atoms from Ti at (0.000, 0.000, 0.000), P at (0.000, 0.500, 0.000), N at (0.500, 0.500, 0.500) and O at (0.000, 0.000, 0.500).

As for the magnetization: 0.00 μB per formula unit. Its total DFT energy (no corrections) is -5.691 eV/atom.

---

# LaPm2Er4Th

Crystalline LaPm2Er4Th at its relaxed geometry (PBE, the Alexandria database).

The space group is P2/m (No. 10) and the conventional cell measures 5.119, 5.128 and 9.909 Å, with angles of 90.00, 90.05 and 90.00 degrees. Symmetry generates all atoms from La at (0.000, 0.000, 0.000), Pm at (0.000, 0.000, 0.500), Pm at (0.500, 0.500, 0.000), Er at (0.000, 0.500, 0.256), Er at (0.499, 0.000, 0.256) and Th at (0.500, 0.500, 0.500).

As for the magnetization: 0.00 μB per formula unit. As for the formation energy: 0.031 eV per atom.

---

# Cr4Ni

Crystalline Cr4Ni at its relaxed geometry (PBE, the Alexandria database).

The space group is I4/m (No. 87) and the conventional cell measures 6.272, 6.272 and 2.921 Å, with angles of 90.00, 90.00 and 90.00 degrees. Symmetry generates all atoms from Cr at (0.111, 0.692, 0.000) and Ni at (0.000, 0.000, 0.500).

As for the magnetization: 0.00 μB per formula unit. As for the formation energy: 0.128 eV per atom.

---

# Y3HgN

Crystalline Y3HgN at its relaxed geometry (PBE, the Alexandria database).

The space group is Pm-3m (No. 221) and the conventional cell measures 4.815, 4.815 and 4.815 Å, with angles of 90.00, 90.00 and 90.00 degrees. Symmetry generates all atoms from Y at (0.000, 0.000, 0.500), Hg at (0.500, 0.500, 0.500) and N at (0.000, 0.000, 0.000).

As for the magnetization: 0.00 μB per formula unit. Its total DFT energy (no corrections) is -6.543 eV/atom.

---

# NiMo2Cl

Crystalline NiMo2Cl at its relaxed geometry (PBE, the Alexandria database).

The space group is F-43m (No. 216) and the conventional cell measures 6.207, 6.207 and 6.207 Å, with angles of 90.00, 90.00 and 90.00 degrees. Symmetry generates all atoms from Ni at (0.000, 0.000, 0.000), Mo at (0.000, 0.000, 0.500), Mo at (0.250, 0.250, 0.250) and Cl at (0.250, 0.250, 0.750).

As for the magnetization: 0.34 μB per formula unit. Its total DFT energy (no corrections) is -6.410 eV/atom.

---

# CrTe2Rh

Crystalline CrTe2Rh at its relaxed geometry (PBE, the Alexandria database).

The space group is Fm-3m (No. 225) and the conventional cell measures 6.791, 6.791 and 6.791 Å, with angles of 90.00, 90.00 and 90.00 degrees. Symmetry generates all atoms from Cr at (0.000, 0.000, 0.000), Te at (0.250, 0.250, 0.250) and Rh at (0.000, 0.000, 0.500).

As for the magnetization: 3.56 μB per formula unit. Its total DFT energy (no corrections) is -5.640 eV/atom.

---

# MgTa2Ir

Crystalline MgTa2Ir at its relaxed geometry (PBE, the Alexandria database).

The space group is I-4m2 (No. 119) and the conventional cell measures 3.935, 3.935 and 8.819 Å, with angles of 90.00, 90.00 and 90.00 degrees. Symmetry generates all atoms from Mg at (0.000, 0.000, 0.000), Ta at (0.000, 0.000, 0.500), Ta at (0.000, 0.500, 0.750) and Ir at (0.000, 0.500, 0.250).

As for the magnetization: 0.00 μB per formula unit. As for the formation energy: -0.004 eV per atom.

---

# ZnCu2GeSe2S2

Crystalline ZnCu2GeSe2S2 at its relaxed geometry (PBE, the Alexandria database).

The space group is Fmm2 (No. 42) and the conventional cell measures 7.714, 7.817 and 11.026 Å, with angles of 90.00, 90.00 and 90.00 degrees. Symmetry generates all atoms from Zn at (0.000, 0.000, 0.000), Cu at (0.250, 0.250, 0.229), Ge at (0.000, 0.000, 0.496), Se at (0.000, 0.247, 0.363) and S at (0.241, 0.000, 0.621).

As for the magnetization: 0.00 μB per formula unit. Its total DFT energy (no corrections) is -4.062 eV/atom.

---

# PmY6Ho12

Crystalline PmY6Ho12 at its relaxed geometry (PBE, the Alexandria database).

The space group is R-3m (No. 166, hexagonal axes) and the conventional cell measures 13.3609, 13.3609 and 12.7095 Å, with angles of 90.00, 90.00 and 120.00 degrees. Symmetry generates all atoms from Pm at (0.0000, 0.0000, 0.0000), Y at (0.0249, 0.5125, 0.7174), Ho at (0.0000, 0.3822, 0.5000) and Ho at (0.0954, 0.1908, 0.3747).

As for the magnetization: 0.00 μB per formula unit. As for the formation energy: 0.464 eV per atom.